1.
Material: SrCa3Tl
Method: DFT, PBE
State: relaxed

a b c (Å): 6.413 6.413 6.413
angles (deg): 90.00 90.00 90.00
Space group Pm-3m (No. 221)
Asymmetric unit:
Sr  0.000  0.000  0.000 [1 per cell]
Ca  0.000  0.000  0.500 [3 per cell]
Tl  0.500  0.500  0.500 [1 per cell]

Calculated formation energy   4.26 eV/f.u.

---

2.
Material: InTc2C2
Method: DFT, PBE
State: relaxed

a b c (Å): 3.599 3.599 10.081
angles (deg): 90.00 90.00 90.00
Space group I4/mmm (No. 139)
Asymmetric unit:
In  0.000  0.000  0.000 [2 per cell]
Tc  0.000  0.000  0.353 [4 per cell]
C  0.000  0.500  0.250 [4 per cell]

Calculated formation energy   3.65 eV/f.u.

---

3.
Material: Cs3IBr
Method: DFT, PBE
State: relaxed

a b c (Å): 7.083 7.083 7.083
angles (deg): 90.00 90.00 90.00
Space group Pm-3m (No. 221)
Asymmetric unit:
Cs  0.000  0.000  0.500 [3 per cell]
I  0.500  0.500  0.500 [1 per cell]
Br  0.000  0.000  0.000 [1 per cell]

Formation energy (no corrections)   -1.12 eV per atom

---

4.
Material: LaSc3Pd
Method: DFT, PBE
State: relaxed

a b c (Å): 5.165 5.165 5.165
angles (deg): 90.00 90.00 90.00
Space group Pm-3m (No. 221)
Asymmetric unit:
La  0.000  0.000  0.000 [1 per cell]
Sc  0.000  0.500  0.500 [3 per cell]
Pd  0.500  0.500  0.500 [1 per cell]

Calculated formation energy   -0.97 eV/f.u.

---

Number 1: energy above the most stable polymorph in this dataset 1.034 eV per atom. Number 2: energy above the most stable polymorph in this dataset 0.000 eV per atom. Number 3: energy above the most stable polymorph in this dataset 0.162 eV per atom. Number 4: energy above the most stable polymorph in this dataset 0.000 eV per atom.